Compound: ScZnCoPb
Source: the Open Quantum Materials Database
Functional: PBE-GGA
Structure: relaxed

Lattice parameters (Å, degrees): 6.5383 6.5383 6.5383 90.00 90.00 90.00
Space group F-43m (No. 216)
Symmetry-distinct sites (fractional):
Sc: 0.0000 0.0000 0.0000 (multiplicity 4)
Zn: 0.2500 0.2500 0.2500 (multiplicity 4)
Co: 0.2500 0.2500 0.7500 (multiplicity 4)
Pb: 0.0000 0.0000 0.5000 (multiplicity 4)

- crystal system = cubic
- E above lowest polymorph (meV per atom) = 14